# 1
A plane-wave DFT calculation with GGA-PBE was carried out for LaTb2CeSm6 after structural relaxation.

Output
E_form: 237 meV per atom

Cell: 11.434 6.838 9.019 Å, 90.00 104.50 90.00°
Space group C2/m (No. 12)
One atom of each set of equivalent atoms:
La (0.000, 0.000, 0.000) [2 per cell]
Tb (0.091, 0.000, 0.662) [4 per cell]
Ce (0.000, 0.500, 0.500) [2 per cell]
Sm (0.131, 0.500, 0.917) [4 per cell]
Sm (0.171, 0.239, 0.305) [8 per cell]

***

# 2
A plane-wave DFT calculation with GGA-PBE was carried out for YPuPaIn after structural relaxation.

Output
E_form: 107 meV per atom

Cell: 7.465 7.465 7.465 Å, 90.00 90.00 90.00°
Space group F-43m (No. 216)
One atom of each set of equivalent atoms:
Y (0.000, 0.000, 0.000) [4 per cell]
Pu (0.000, 0.000, 0.500) [4 per cell]
Pa (0.250, 0.250, 0.750) [4 per cell]
In (0.250, 0.250, 0.250) [4 per cell]

***

# 3
A plane-wave DFT calculation with GGA-PBE was carried out for LiCd6 after structural relaxation.

Output
E_form: 339 meV per atom
offset from the most stable computed form: 411 meV/atom

Cell: 7.989 7.989 7.989 Å, 90.00 90.00 90.00°
Space group Im-3m (No. 229)
One atom of each set of equivalent atoms:
Li (0.000, 0.000, 0.000) [2 per cell]
Cd (0.000, 0.250, 0.500) [12 per cell]

***

# 4
A plane-wave DFT calculation with GGA-PBE was carried out for Ac4Pu6Ge7 after structural relaxation.

Output
E_form: -136 meV per atom

Cell: 9.744 9.744 9.744 Å, 90.00 90.00 90.00°
Space group Im-3m (No. 229)
One atom of each set of equivalent atoms:
Ac (0.250, 0.250, 0.250) [8 per cell]
Pu (0.000, 0.000, 0.322) [12 per cell]
Ge (0.000, 0.000, 0.000) [2 per cell]
Ge (0.000, 0.250, 0.500) [12 per cell]

***

# 5
A plane-wave DFT calculation with GGA-PBE was carried out for BaLiAu4 after structural relaxation.

Output
E_form: -445 meV per atom

Cell: 8.163 8.163 8.163 Å, 90.00 90.00 90.00°
Space group F-43m (No. 216)
One atom of each set of equivalent atoms:
Ba (0.000, 0.000, 0.000) [4 per cell]
Li (0.250, 0.250, 0.750) [4 per cell]
Au (0.124, 0.124, 0.376) [16 per cell]

***

# 6
A plane-wave DFT calculation with GGA-PBE was carried out for LiCa3 after structural relaxation.

Output
E_form: 59 meV per atom
offset from the most stable computed form: 27 meV/atom

Cell: 3.8568 3.8568 11.7078 Å, 90.00 90.00 120.00°
Space group P-6m2 (No. 187)
One atom of each set of equivalent atoms:
Li (0.0000, 0.0000, 0.0000) [1 per cell]
Ca (0.0000, 0.0000, 0.5000) [1 per cell]
Ca (0.3333, 0.6667, 0.2268) [2 per cell]

***

# 7
A plane-wave DFT calculation with GGA-PBE was carried out for LiMgCl2 after structural relaxation.

Output
ΔE_f (raw): -1178 meV per atom
offset from the most stable computed form: 116 meV/atom

Cell: 4.019 4.015 5.546 Å, 90.00 90.22 90.00°
Space group P2/m (No. 10)
One atom of each set of equivalent atoms:
Li (0.000, 0.000, 0.000) [1 per cell]
Mg (0.500, 0.500, 0.500) [1 per cell]
Cl (0.000, 0.000, 0.500) [1 per cell]
Cl (0.500, 0.500, 0.000) [1 per cell]

***

# 8
A plane-wave DFT calculation with GGA-PBE was carried out for LiIr2Ru2 after structural relaxation.

Output
E_form: 122 meV per atom

Cell: 7.552 7.552 2.723 Å, 90.00 90.00 90.00°
Space group P4/mbm (No. 127)
One atom of each set of equivalent atoms:
Li (0.000, 0.000, 0.000) [2 per cell]
Ir (0.123, 0.377, 0.000) [4 per cell]
Ru (0.173, 0.673, 0.500) [4 per cell]

***

# 9
A plane-wave DFT calculation with GGA-PBE was carried out for NaZn6Au2 after structural relaxation.

Output
E_form: -64 meV per atom

Cell: 4.388 5.886 12.457 Å, 90.00 90.00 90.00°
Space group Immm (No. 71)
One atom of each set of equivalent atoms:
Na (0.000, 0.000, 0.000) [2 per cell]
Zn (0.000, 0.211, 0.500) [4 per cell]
Zn (0.000, 0.268, 0.304) [8 per cell]
Au (0.000, 0.500, 0.118) [4 per cell]

***

# 10
A plane-wave DFT calculation with GGA-PBE was carried out for CoPC after structural relaxation.

Output
E_form: 424 meV per atom
offset from the most stable computed form: 154 meV/atom

Cell: 3.498 2.876 3.817 Å, 90.00 116.92 90.00°
Space group Pm (No. 6)
One atom of each set of equivalent atoms:
Co (0.000, 0.000, 0.000) [1 per cell]
P (0.569, 0.500, 0.140) [1 per cell]
C (0.722, 0.000, 0.445) [1 per cell]

***

# 11
A plane-wave DFT calculation with GGA-PBE was carried out for Dy2PuH8 after structural relaxation.

Cell: 3.624 5.305 10.856 Å, 90.00 90.00 90.00°
Space group Immm (No. 71)
One atom of each set of equivalent atoms:
Dy (0.000, 0.000, 0.171) [4 per cell]
Pu (0.000, 0.000, 0.500) [2 per cell]
H (0.000, 0.224, 0.000) [4 per cell]
H (0.000, 0.265, 0.338) [8 per cell]
H (0.000, 0.500, 0.155) [4 per cell]

***

# 12
A plane-wave DFT calculation with GGA-PBE was carried out for CaZrPd14 after structural relaxation.

Output
E_form: -321 meV per atom

Cell: 5.709 5.709 7.937 Å, 90.00 90.00 90.00°
Space group P4/mmm (No. 123)
One atom of each set of equivalent atoms:
Ca (0.000, 0.000, 0.000) [1 per cell]
Zr (0.500, 0.500, 0.000) [1 per cell]
Pd (0.000, 0.000, 0.500) [1 per cell]
Pd (0.000, 0.500, 0.000) [2 per cell]
Pd (0.000, 0.500, 0.500) [2 per cell]
Pd (0.254, 0.254, 0.255) [8 per cell]
Pd (0.500, 0.500, 0.500) [1 per cell]

***

| no. | N(E_F) (states/eV/f.u.) | E (eV/atom) |
| --- | --- | --- |
| 1 | 23.592 | -4.61 |
| 2 | 9.119 | -8.15 |
| 3 | 4.541 | -0.72 |
| 4 | 55.929 | -8.06 |
| 5 | 5.060 | -3.27 |
| 6 | 3.925 | -1.92 |
| 7 | 1.294 | -2.98 |
| 8 | 5.053 | -7.52 |
| 9 | 1.347 | -1.79 |
| 10 | 1.527 | -6.82 |
| 11 | 8.515 | -5.14 |
| 12 | 23.477 | -5.52 |